(P)
GGA-PBE MgBeRu, optimized geometry; D(E_F) = 0.562 states/eV per atom; SG = No. 156; magnetic moment = 0.00 μB per formula unit
1.0
4.155 0.000 0.000
-2.077 3.598 0.000
0.000 0.000 2.686
Mg Be Ru
1 1 1
direct
0.000 0.000 0.000
0.667 0.333 0.645
0.333 0.667 0.450


(Q)
GGA-PBE MgBeRu, optimized geometry; D(E_F) = 0.664 states/eV per atom; SG = No. 107; magnetic moment = 0.00 μB per formula unit
1.0
-1.521 1.521 4.505
1.521 -1.521 4.505
1.521 1.521 -4.505
Mg Be Ru
1 1 1
direct
0.000 0.000 0.000
0.715 0.715 0.000
0.299 0.299 0.000


(R)
GGA-PBE MgBeRu, optimized geometry; D(E_F) = 0.417 states/eV per atom; SG = No. 63; magnetic moment = 0.00 μB per formula unit
1.0
1.603 -8.932 0.000
1.603 8.932 0.000
0.000 0.000 3.162
Mg Be Ru
2 2 2
direct
0.183 0.817 0.750
0.817 0.183 0.250
0.042 0.958 0.250
0.958 0.042 0.750
0.436 0.564 0.250
0.564 0.436 0.750


Most stable structure, least stable structure: (Q), (P).


(P)
GGA-PBE MgBe2Ru2, optimized geometry; D(E_F) = 0.371 states/eV per atom; SG = No. 127; magnetic moment = 0.00 μB per formula unit
1.0
6.102 0.000 0.000
0.000 6.102 0.000
0.000 0.000 3.125
Mg Be Ru
2 4 4
direct
0.000 0.000 0.000
0.500 0.500 0.000
0.119 0.381 0.000
0.381 0.881 0.000
0.619 0.119 0.000
0.881 0.619 0.000
0.172 0.672 0.500
0.328 0.172 0.500
0.672 0.828 0.500
0.828 0.328 0.500


(Q)
GGA-PBE MgBe2Ru2, optimized geometry; D(E_F) = 0.908 states/eV per atom; SG = No. 139; magnetic moment = 0.01 μB per formula unit
1.0
-2.060 2.060 4.060
2.060 -2.060 4.060
2.060 2.060 -4.060
Mg Be Ru
1 2 2
direct
0.000 0.000 0.000
0.250 0.750 0.500
0.750 0.250 0.500
0.353 0.353 0.000
0.647 0.647 0.000


Most stable structure, least stable structure: (P), (Q).


(P)
GGA-PBE MgBeS, optimized geometry; D(E_F) = 0.053 states/eV per atom; SG = No. 38; magnetic moment = 0.00 μB per formula unit
1.0
3.485 0.000 0.000
0.000 1.827 8.183
0.000 -1.827 8.183
Mg Be S
2 2 2
direct
0.000 0.000 0.000
0.000 0.223 0.223
0.500 0.653 0.653
0.500 0.781 0.781
0.000 0.847 0.847
0.500 0.529 0.529


(Q)
GGA-PBE MgBeS, optimized geometry; D(E_F) = 0.107 states/eV per atom; SG = No. 38; magnetic moment = 0.00 μB per formula unit
1.0
3.529 0.000 0.000
0.000 1.690 7.795
0.000 -1.690 7.795
Mg Be S
2 2 2
direct
0.000 0.000 0.000
0.000 0.269 0.269
0.500 0.429 0.429
0.500 0.570 0.570
0.000 0.644 0.644
0.500 0.840 0.840


Most stable structure, least stable structure: (P), (Q).


(P)
GGA-PBE MgBeS, optimized geometry; D(E_F) = 0.060 states/eV per atom; SG = No. 31; magnetic moment = 0.00 μB per formula unit
1.0
3.401 0.000 0.000
0.000 5.354 0.000
0.000 0.000 5.839
Mg Be S
2 2 2
direct
0.000 0.002 0.000
0.500 0.998 0.500
0.000 0.620 0.334
0.500 0.380 0.834
0.000 0.510 0.992
0.500 0.490 0.492


(Q)
GGA-PBE MgBeS, optimized geometry; D(E_F) = 0.040 states/eV per atom; SG = No. 65; magnetic moment = 0.00 μB per formula unit
1.0
3.752 -4.025 0.000
3.752 4.025 0.000
0.000 0.000 3.384
Mg Be S
2 2 2
direct
0.250 0.250 0.000
0.750 0.750 0.000
0.130 0.870 0.500
0.870 0.130 0.500
0.277 0.723 0.000
0.723 0.277 0.000


Most stable structure, least stable structure: (Q), (P).


(P)
GGA-PBE MgBeS, optimized geometry; D(E_F) = 0.244 states/eV per atom; SG = No. 6; magnetic moment = 0.00 μB per formula unit
1.0
5.466 0.000 0.000
0.000 3.385 0.000
-1.680 0.000 5.374
Mg Be S
2 2 2
direct
0.000 0.000 0.000
0.472 0.000 0.552
0.609 0.500 0.937
0.824 0.500 0.324
0.396 0.500 0.179
0.979 0.000 0.524


(Q)
GGA-PBE MgBeS, optimized geometry; D(E_F) = 0.010 states/eV per atom; SG = No. 156; magnetic moment = 0.00 μB per formula unit
1.0
3.367 0.000 0.000
-1.683 2.916 0.000
0.000 0.000 5.344
Mg Be S
1 1 1
direct
0.000 0.000 0.000
0.667 0.333 0.376
0.000 0.000 0.510


Most stable structure, least stable structure: (Q), (P).


(P)
GGA-PBE MgBeS3, optimized geometry; D(E_F) = 0.734 states/eV per atom; SG = No. 221; magnetic moment = 0.00 μB per formula unit
1.0
4.381 0.000 0.000
0.000 4.381 0.000
0.000 0.000 4.381
Mg Be S
1 1 3
direct
0.000 0.000 0.000
0.500 0.500 0.500
0.000 0.500 0.500
0.500 0.000 0.500
0.500 0.500 0.000


(Q)
GGA-PBE MgBeS3, optimized geometry; D(E_F) = 1.057 states/eV per atom; SG = No. 221; magnetic moment = 0.00 μB per formula unit
1.0
4.726 0.000 0.000
0.000 4.726 0.000
0.000 0.000 4.726
Mg Be S
1 1 3
direct
0.000 0.000 0.000
0.500 0.500 0.500
0.000 0.000 0.500
0.000 0.500 0.000
0.500 0.000 0.000


Most stable structure, least stable structure: (P), (Q).


(P)
GGA-PBE Mg2BeSb, optimized geometry; D(E_F) = 0.183 states/eV per atom; SG = No. 6; magnetic moment = 0.00 μB per formula unit
1.0
4.140 0.000 0.000
0.000 3.934 0.000
-1.864 0.000 5.113
Mg Be Sb
2 1 1
direct
0.000 0.000 0.000
0.297 0.500 0.624
0.542 0.500 0.132
0.701 0.000 0.423


(Q)
GGA-PBE Mg2BeSb, optimized geometry; D(E_F) = 0.308 states/eV per atom; SG = No. 25; magnetic moment = 0.00 μB per formula unit
1.0
3.514 0.000 0.000
0.000 3.860 0.000
0.000 0.000 5.911
Mg Be Sb
2 1 1
direct
0.000 0.000 0.000
0.500 0.500 0.268
0.500 0.500 0.774
0.000 0.000 0.533


(R)
GGA-PBE Mg2BeSb, optimized geometry; D(E_F) = 0.368 states/eV per atom; SG = No. 12; magnetic moment = 0.00 μB per formula unit
1.0
4.506 -1.616 0.000
4.506 1.616 0.000
-1.221 0.000 5.578
Mg Be Sb
2 1 1
direct
0.237 0.237 0.208
0.763 0.763 0.792
0.500 0.500 0.000
0.000 0.000 0.500


(S)
GGA-PBE Mg2BeSb, optimized geometry; D(E_F) = 0.375 states/eV per atom; SG = No. 122; magnetic moment = 0.00 μB per formula unit
1.0
-2.205 2.205 9.105
2.205 -2.205 9.105
2.205 2.205 -9.105
Mg Be Sb
4 2 2
direct
0.086 0.625 0.961
0.375 0.336 0.461
0.664 0.125 0.039
0.875 0.914 0.539
0.000 0.000 0.000
0.750 0.250 0.500
0.250 0.750 0.500
0.500 0.500 0.000


Most stable structure, least stable structure: (P), (S).


(P)
GGA-PBE Mg2BeSb, optimized geometry; D(E_F) = 0.261 states/eV per atom; SG = No. 65; magnetic moment = 0.00 μB per formula unit
1.0
3.006 -4.201 0.000
3.006 4.201 0.000
0.000 0.000 3.166
Mg Be Sb
2 1 1
direct
0.000 0.500 0.000
0.500 0.000 0.000
0.000 0.000 0.500
0.500 0.500 0.500


(Q)
GGA-PBE Mg2BeSb, optimized geometry; D(E_F) = 0.257 states/eV per atom; SG = No. 123; magnetic moment = 0.00 μB per formula unit
1.0
3.131 0.000 0.000
0.000 3.131 0.000
0.000 0.000 8.076
Mg Be Sb
2 1 1
direct
0.000 0.000 0.194
0.000 0.000 0.806
0.500 0.500 0.000
0.500 0.500 0.500


Most stable structure, least stable structure: (Q), (P).


(P)
GGA-PBE Mg2BeSb, optimized geometry; D(E_F) = 0.486 states/eV per atom; SG = No. 35; magnetic moment = 0.00 μB per formula unit
1.0
1.959 -2.514 0.000
1.959 2.514 0.000
0.000 0.000 8.429
Mg Be Sb
2 1 1
direct
0.000 0.000 0.000
0.500 0.500 0.280
0.500 0.500 0.794
0.000 0.000 0.590


(Q)
GGA-PBE Mg2BeSb, optimized geometry; D(E_F) = 0.236 states/eV per atom; SG = No. 166; magnetic moment = 0.00 μB per formula unit
1.0
1.661 0.959 8.607
-1.661 0.959 8.607
0.000 -1.918 8.607
Mg Be Sb
2 1 1
direct
0.238 0.238 0.238
0.762 0.762 0.762
0.500 0.500 0.500
0.000 0.000 0.000


(R)
GGA-PBE Mg2BeSb, optimized geometry; D(E_F) = 0.392 states/eV per atom; SG = No. 44; magnetic moment = 0.00 μB per formula unit
1.0
-1.948 2.164 4.823
1.948 -2.164 4.823
1.948 2.164 -4.823
Mg Be Sb
2 1 1
direct
0.000 0.000 0.000
0.723 0.223 0.500
0.458 0.458 0.000
0.278 0.778 0.500


(S)
GGA-PBE Mg2BeSb, optimized geometry; D(E_F) = 0.833 states/eV per atom; SG = No. 225; magnetic moment = 0.00 μB per formula unit
1.0
0.000 3.451 3.451
3.451 0.000 3.451
3.451 3.451 0.000
Mg Be Sb
2 1 1
direct
0.250 0.250 0.250
0.750 0.750 0.750
0.000 0.000 0.000
0.500 0.500 0.500


Most stable structure, least stable structure: (R), (P).


(P)
GGA-PBE Mg2BeSb, optimized geometry; D(E_F) = 0.326 states/eV per atom; SG = No. 139; magnetic moment = 0.00 μB per formula unit
1.0
-2.105 2.105 4.367
2.105 -2.105 4.367
2.105 2.105 -4.367
Mg Be Sb
2 1 1
direct
0.250 0.750 0.500
0.750 0.250 0.500
0.000 0.000 0.000
0.500 0.500 0.000


(Q)
GGA-PBE Mg2BeSb, optimized geometry; D(E_F) = 0.582 states/eV per atom; SG = No. 216; magnetic moment = 0.00 μB per formula unit
1.0
0.000 3.447 3.447
3.447 0.000 3.447
3.447 3.447 0.000
Mg Be Sb
2 1 1
direct
0.000 0.000 0.000
0.250 0.250 0.250
0.500 0.500 0.500
0.750 0.750 0.750


(R)
GGA-PBE Mg2BeSb, optimized geometry; D(E_F) = 0.430 states/eV per atom; SG = No. 8; magnetic moment = 0.00 μB per formula unit
1.0
4.687 -1.584 0.000
4.687 1.584 0.000
-2.317 0.000 5.724
Mg Be Sb
2 1 1
direct
0.000 0.000 0.000
0.194 0.194 0.666
0.732 0.732 0.030
0.386 0.386 0.376


Most stable structure, least stable structure: (R), (Q).